(1)
Below is an optimized crystal structure of MoSe2N2, with properties calculated at the GGA-PBE level.

Lattice parameters (Å, degrees): 3.9007 3.9007 5.5431 90.00 90.00 90.00
Fractional coordinates of all 5 atoms:
Mo 0.0000 0.0000 0.0000
Se 0.0000 0.0000 0.5000
Se 0.5000 0.5000 0.5000
N 0.0000 0.5000 0.0000
N 0.5000 0.0000 0.0000

Results
Symmetry   P4/mmm
Calculated total energy   -6.302 eV/atom
Distance to the lowest polymorph of the same formula   0.839 eV/atom



(2)
Below is an optimized crystal structure of MoSe2N2, with properties calculated at the GGA-PBE level.

Lattice parameters (Å, degrees): 4.1160 4.1160 4.3827 90.00 90.00 90.00
Fractional coordinates of all 5 atoms:
Mo 0.0000 0.0000 0.0000
Se 0.0000 0.5000 0.5000
Se 0.5000 0.0000 0.5000
N 0.0000 0.5000 0.0000
N 0.5000 0.0000 0.0000

Results
Symmetry   P4/mmm
Calculated total energy   -6.151 eV/atom
Distance to the lowest polymorph of the same formula   0.990 eV/atom



(3)
Below is an optimized crystal structure of MoSe2N, with properties calculated at the GGA-PBE level.

Lattice parameters (Å, degrees): 7.8301 7.8301 7.8301 23.34 23.34 23.34
Fractional coordinates of all 4 atoms:
Mo 0.0000 0.0000 0.0000
Se 0.1038 0.1038 0.1038
Se 0.8962 0.8962 0.8962
N 0.5000 0.5000 0.5000

Results
Symmetry   R-3m
Calculated total energy   -5.229 eV/atom



(4)
Below is an optimized crystal structure of Mo2SeN, with properties calculated at the GGA-PBE level.

Lattice parameters (Å, degrees): 4.1967 4.1967 4.1967 60.00 60.00 60.00
Fractional coordinates of all 4 atoms:
Mo 0.2500 0.2500 0.2500
Mo 0.7500 0.7500 0.7500
Se 0.0000 0.0000 0.0000
N 0.5000 0.5000 0.5000

Results
Symmetry   Fm-3m
Calculated total energy   -7.768 eV/atom
Distance to the lowest polymorph of the same formula   0.512 eV/atom



(5)
Below is an optimized crystal structure of MoSeN, with properties calculated at the GGA-PBE level.

Lattice parameters (Å, degrees): 3.4261 3.4261 8.5418 90.00 90.00 90.00
Fractional coordinates of all 6 atoms:
Mo 0.2500 0.2500 0.1278
Mo 0.7500 0.7500 0.8722
Se 0.2500 0.2500 0.6930
Se 0.7500 0.7500 0.3070
N 0.2500 0.7500 0.0000
N 0.7500 0.2500 0.0000

Results
Symmetry   P4/nmm
Calculated total energy   -7.647 eV/atom
Distance to the lowest polymorph of the same formula   0.000 eV/atom



(6)
Below is an optimized crystal structure of MoSe2N, with properties calculated at the GGA-PBE level.

Lattice parameters (Å, degrees): 6.4916 6.4916 6.4916 131.22 131.22 71.46
Fractional coordinates of all 8 atoms:
Mo 0.0000 0.0000 0.0000
Mo 0.7500 0.2500 0.5000
Se 0.1609 0.6250 0.0359
Se 0.3750 0.4109 0.5359
Se 0.5891 0.1250 0.9641
Se 0.8750 0.8391 0.4641
N 0.2500 0.7500 0.5000
N 0.5000 0.5000 0.0000

Results
Symmetry   I-42d
Calculated total energy   -5.573 eV/atom



(7)
Below is an optimized crystal structure of SiMoSe2N, with properties calculated at the GGA-PBE level.

Lattice parameters (Å, degrees): 5.0834 5.0834 3.7799 90.00 90.00 90.00
Fractional coordinates of all 5 atoms:
Si 0.0000 0.0000 0.0000
Mo 0.5000 0.5000 0.5000
Se 0.0000 0.5000 0.5000
Se 0.5000 0.0000 0.5000
N 0.5000 0.5000 0.0000

Results
Symmetry   P4/mmm
Calculated total energy   -5.916 eV/atom
Distance to the lowest polymorph of the same formula   0.000 eV/atom



(8)
Below is an optimized crystal structure of SiMoSe2N, with properties calculated at the GGA-PBE level.

Lattice parameters (Å, degrees): 5.0387 5.0387 3.2787 90.00 90.00 90.00
Fractional coordinates of all 5 atoms:
Si 0.0000 0.0000 0.0000
Mo 0.5000 0.5000 0.5000
Se 0.0000 0.5000 0.0000
Se 0.5000 0.0000 0.0000
N 0.0000 0.0000 0.5000

Results
Symmetry   P4/mmm
Calculated total energy   -5.813 eV/atom
Distance to the lowest polymorph of the same formula   0.103 eV/atom



(9)
Below is an optimized crystal structure of SnMoSeN2, with properties calculated at the GGA-PBE level.

Lattice parameters (Å, degrees): 4.1038 4.1038 5.4264 90.00 90.00 90.00
Fractional coordinates of all 5 atoms:
Sn 0.0000 0.0000 0.0000
Mo 0.5000 0.5000 0.5000
Se 0.0000 0.0000 0.5000
N 0.0000 0.5000 0.0000
N 0.5000 0.0000 0.0000

Results
Symmetry   P4/mmm
Calculated total energy   -5.462 eV/atom
Distance to the lowest polymorph of the same formula   1.214 eV/atom



(10)
Below is an optimized crystal structure of SnMoSe2N, with properties calculated at the GGA-PBE level.

Lattice parameters (Å, degrees): 5.1755 5.1755 3.8274 90.00 90.00 90.00
Fractional coordinates of all 5 atoms:
Sn 0.0000 0.0000 0.0000
Mo 0.5000 0.5000 0.5000
Se 0.0000 0.5000 0.5000
Se 0.5000 0.0000 0.5000
N 0.5000 0.5000 0.0000

Results
Symmetry   P4/mmm
Calculated total energy   -6.026 eV/atom
Distance to the lowest polymorph of the same formula   0.000 eV/atom



(11)
Below is an optimized crystal structure of SnMoSeN2, with properties calculated at the GGA-PBE level.

Lattice parameters (Å, degrees): 4.0045 4.0045 5.2967 90.00 90.00 90.00
Fractional coordinates of all 5 atoms:
Sn 0.0000 0.0000 0.0000
Mo 0.5000 0.5000 0.5000
Se 0.5000 0.5000 0.0000
N 0.0000 0.5000 0.5000
N 0.5000 0.0000 0.5000

Results
Symmetry   P4/mmm
Calculated total energy   -6.676 eV/atom
Distance to the lowest polymorph of the same formula   0.000 eV/atom



(12)
Below is an optimized crystal structure of SnMoSe2N, with properties calculated at the GGA-PBE level.

Lattice parameters (Å, degrees): 5.3484 5.3484 3.9142 90.00 90.00 90.00
Fractional coordinates of all 5 atoms:
Sn 0.0000 0.0000 0.0000
Mo 0.5000 0.5000 0.5000
Se 0.0000 0.5000 0.0000
Se 0.5000 0.0000 0.0000
N 0.0000 0.0000 0.5000

Results
Symmetry   P4/mmm
Calculated total energy   -4.841 eV/atom
Distance to the lowest polymorph of the same formula   1.185 eV/atom